# CaTaH3, optimized geometry, DFT PBE
# Spin magnetization: 0.00 μB per formula unit
# Total energy: -3.979 eV per atom
# E above lowest polymorph: 0.880 eV per atom
# D(E_F): 5.751 states/eV per cell
# Volume: 55.2 Å³ per cell
data_CaTaH3
_space_group_name_H-M_alt 'P m -3 m'
_space_group_IT_number 221
_space_group_name_Hall '-P 4 2 3'
_cell_length_a 3.807
_cell_length_b 3.807
_cell_length_c 3.807
_cell_angle_alpha 90.00
_cell_angle_beta 90.00
_cell_angle_gamma 90.00
loop_
_atom_site_label
_atom_site_type_symbol
_atom_site_fract_x
_atom_site_fract_y
_atom_site_fract_z
Ca1 Ca 0.000 0.000 0.000
Ta1 Ta 0.500 0.500 0.500
H1 H 0.000 0.000 0.500

---

# CaTaH3, optimized geometry, DFT PBE
# Spin magnetization: 0.00 μB per formula unit
# Total energy: -4.859 eV per atom
# E above lowest polymorph: 0.000 eV per atom
# D(E_F): 2.929 states/eV per cell
# Volume: 55.2 Å³ per cell
data_CaTaH3
_space_group_name_H-M_alt 'P m -3 m'
_space_group_IT_number 221
_space_group_name_Hall '-P 4 2 3'
_cell_length_a 3.808
_cell_length_b 3.808
_cell_length_c 3.808
_cell_angle_alpha 90.00
_cell_angle_beta 90.00
_cell_angle_gamma 90.00
loop_
_atom_site_label
_atom_site_type_symbol
_atom_site_fract_x
_atom_site_fract_y
_atom_site_fract_z
Ca1 Ca 0.000 0.000 0.000
Ta1 Ta 0.500 0.500 0.500
H1 H 0.000 0.500 0.500

---

Please write out number 2 again, unchanged.
# CaTaH3, optimized geometry, DFT PBE
# Spin magnetization: 0.00 μB per formula unit
# Total energy: -4.859 eV per atom
# E above lowest polymorph: 0.000 eV per atom
# D(E_F): 2.929 states/eV per cell
# Volume: 55.2 Å³ per cell
data_CaTaH3
_space_group_name_H-M_alt 'P m -3 m'
_space_group_IT_number 221
_space_group_name_Hall '-P 4 2 3'
_cell_length_a 3.808
_cell_length_b 3.808
_cell_length_c 3.808
_cell_angle_alpha 90.00
_cell_angle_beta 90.00
_cell_angle_gamma 90.00
loop_
_atom_site_label
_atom_site_type_symbol
_atom_site_fract_x
_atom_site_fract_y
_atom_site_fract_z
Ca1 Ca 0.000 0.000 0.000
Ta1 Ta 0.500 0.500 0.500
H1 H 0.000 0.500 0.500

---

What did the second record say?
# CaTaH3, optimized geometry, DFT PBE
# Spin magnetization: 0.00 μB per formula unit
# Total energy: -4.859 eV per atom
# E above lowest polymorph: 0.000 eV per atom
# D(E_F): 2.929 states/eV per cell
# Volume: 55.2 Å³ per cell
data_CaTaH3
_space_group_name_H-M_alt 'P m -3 m'
_space_group_IT_number 221
_space_group_name_Hall '-P 4 2 3'
_cell_length_a 3.808
_cell_length_b 3.808
_cell_length_c 3.808
_cell_angle_alpha 90.00
_cell_angle_beta 90.00
_cell_angle_gamma 90.00
loop_
_atom_site_label
_atom_site_type_symbol
_atom_site_fract_x
_atom_site_fract_y
_atom_site_fract_z
Ca1 Ca 0.000 0.000 0.000
Ta1 Ta 0.500 0.500 0.500
H1 H 0.000 0.500 0.500